This record from Alexandria describes a geometry-optimized Ta2InSnGe structure. The functional is PBE.

a b c (Å): 5.1847 5.1847 4.9069
angles (deg): 90.00 90.00 90.00
Sites, in units of the cell vectors:
1 Ta 0.0000 0.5000 0.0000
2 Ta 0.5000 0.0000 0.0000
3 In 0.0000 0.0000 0.0000
4 Sn 0.5000 0.5000 0.5000
5 Ge 0.0000 0.0000 0.5000

Properties
The value obtained for the density of states at the Fermi level is 1.771 states/eV/atom. The formation enthalpy at 0 K is 1766 meV/atom. The volume is 131.9 Å³/cell. Its total magnetization is 0.00 Bohr magnetons per cell.